(1)
This record from Alexandria describes a relaxed structure of Hg2SbSe. The functional is GGA-PBE.

Structure (POSCAR):
```
Hg2SbSe
1.0
-1.7467 -3.4385 0.4811
1.9001 -1.3974 -3.0891
4.9321 -1.9570 3.9189
Hg Sb Se
2 1 1
Cartesian
4.8680 -1.9316 3.8680
2.5301 -1.0039 2.0104
1.3097 -2.9072 -0.3243
3.7758 -3.8858 1.6352
```

Values from the calculation:
Its uncorrected formation energy is 232.2 meV per atom. The calculated density is 10.03 Mg/m³. As for the space group: P4/mmm, No. 123.

---

(2)
This record from Alexandria describes a relaxed structure of La2Al12Co3Au. The functional is GGA-PBE.

Structure (POSCAR):
```
La2Al12Co3Au
1.0
8.0432 -0.3034 -0.2152
3.7083 7.1438 -0.2152
3.7083 2.1585 6.8132
La Al Co Au
2 12 3 1
Cartesian
9.2437 5.3806 3.8164
6.2161 3.6183 2.5664
6.7085 3.9049 6.2228
11.7536 6.8415 2.2075
9.5828 8.0744 5.7271
9.5423 2.2955 1.6281
11.7536 4.3452 5.7271
6.7085 7.1638 1.6281
8.7513 5.0940 0.1600
3.7062 2.1573 4.1753
5.8769 0.9245 0.6557
5.9175 6.7034 4.7547
3.7062 4.6537 0.6557
8.7513 1.8350 4.7547
4.0216 -0.1517 -0.1076
1.8541 3.5719 -0.1076
1.8541 1.0793 3.4066
0.0000 0.0000 0.0000
```

Values from the calculation:
As for the calculated total energy: -4.38 eV per atom. The calculated density is 3.98 Mg/m³. As for the space group: R-3m, No. 166.